Density functional theory data (PBE) for a relaxed structure of PPbW2.

```
PPbW2
1.0
0.0000 3.2307 3.2307
3.2307 0.0000 3.2307
3.2307 3.2307 0.0000
Pb W P
1 2 1
Direct
0.5000 0.5000 0.5000
0.7500 0.7500 0.7500
0.2500 0.2500 0.2500
0.0000 0.0000 0.0000
```

Calculated values
* E_form: 0.9101 eV/atom
* ρ: 14.9 g cm⁻³
* total magnetization: 0.0 μB per formula unit

Density functional theory data (PBE) for a relaxed structure of PPbW2.

```
PPbW2
1.0
-3.2224 -0.7097 -4.2408
-2.2052 -0.7806 4.8373
-2.4957 2.2327 0.2971
W Pb P
2 1 1
Direct
0.0000 0.5000 0.0000
0.5000 0.0000 0.0000
0.5000 0.5000 0.5000
0.0000 0.0000 0.5000
```

Calculated values
* E_form: 1.0612 eV/atom
* ρ: 13.8 g cm⁻³
* total magnetization: 0.0 μB per formula unit

Density functional theory data (PBE) for a relaxed structure of PPbW3.

```
PPbW3
1.0
-0.3741 4.8525 -1.1786
-2.6203 -1.1969 -4.0960
-4.2508 0.3107 2.6285
W Pb P
3 1 1
Direct
0.0000 0.5000 0.0000
0.0000 0.0000 0.5000
0.5000 0.0000 0.0000
0.0000 0.0000 0.0000
0.5000 0.5000 0.5000
```

Calculated values
* E_form: 3.5068 eV/atom
* ρ: 10.4 g cm⁻³
* total magnetization: 0.0 μB per formula unit

Density functional theory data (PBE) for a relaxed structure of PPbW2.

```
PPbW2
1.0
-1.6359 2.6186 4.1795
1.6359 -2.6186 4.1795
1.6359 2.6186 -4.1795
Pb W P
1 2 1
Direct
0.5000 0.0000 0.5000
0.7980 0.7980 0.0000
0.2020 0.2020 0.0000
0.0000 0.5000 0.5000
```

Calculated values
* E_form: 0.6775 eV/atom
* ρ: 14.0 g cm⁻³
* total magnetization: 0.0 μB per formula unit

Density functional theory data (PBE) for a relaxed structure of P4PbW.

```
P4PbW
1.0
10.0969 0.0452 0.0000
7.1333 7.1460 0.0000
-8.6151 -3.5956 3.8472
Pb W P
2 2 8
Direct
0.6250 0.8750 0.2500
0.3750 0.1250 0.7500
0.8750 0.6250 0.7500
0.1250 0.3750 0.2500
0.2638 0.6693 0.0128
0.6565 0.7510 0.4872
0.7362 0.3307 0.9872
0.7490 0.2362 0.4055
0.3435 0.2490 0.5128
0.2510 0.7638 0.5945
0.1693 0.1565 0.9055
0.8307 0.8435 0.0945
```

Calculated values
* E_form: 0.3903 eV/atom
* ρ: 6.2 g cm⁻³
* total magnetization: 0.0 μB per formula unit

Density functional theory data (PBE) for a relaxed structure of PPbW2.

```
PPbW2
1.0
1.5670 -5.2740 0.0000
1.5670 5.2740 0.0000
0.0000 0.0000 4.5259
P W Pb
1 2 1
Direct
0.2194 0.7806 0.0000
0.3028 0.6972 0.5000
0.8942 0.1058 0.0000
0.5650 0.4350 0.5000
```

Calculated values
* E_form: 0.5240 eV/atom
* ρ: 13.4 g cm⁻³
* total magnetization: 0.0 μB per formula unit

Density functional theory data (PBE) for a relaxed structure of P3PbW.

```
P3PbW
1.0
4.7771 0.0000 0.0000
0.0000 4.7771 0.0000
0.0000 0.0000 4.7771
P Pb W
3 1 1
Direct
0.0000 0.0000 0.5000
0.0000 0.5000 0.0000
0.5000 0.0000 0.0000
0.5000 0.5000 0.5000
0.0000 0.0000 0.0000
```

Calculated values
* E_form: 0.3821 eV/atom
* ρ: 7.4 g cm⁻³
* total magnetization: 0.0 μB per formula unit

Density functional theory data (PBE) for a relaxed structure of PPbW2.

```
PPbW2
1.0
-1.5477 1.6926 7.0754
1.5477 -1.6926 7.0754
1.5477 1.6926 -7.0754
Pb W P
1 2 1
Direct
0.8048 0.3048 0.5000
0.9867 0.9867 0.0000
0.1633 0.6633 0.5000
0.5452 0.5452 0.0000
```

Calculated values
* E_form: 0.3913 eV/atom
* ρ: 13.6 g cm⁻³
* total magnetization: 0.0 μB per formula unit

Density functional theory data (PBE) for a relaxed structure of PPbW.

```
PPbW
1.0
0.0000 3.1895 3.1895
3.1895 0.0000 3.1895
3.1895 3.1895 0.0000
W P Pb
1 1 1
Direct
0.2500 0.2500 0.2500
0.0000 0.0000 0.0000
0.5000 0.5000 0.5000
```

Calculated values
* E_form: 1.0596 eV/atom
* ρ: 10.8 g cm⁻³
* total magnetization: 0.7 μB per formula unit

Density functional theory data (PBE) for a relaxed structure of PPbW2.

```
PPbW2
1.0
-4.5814 7.2760 2.1417
-6.8478 5.5251 1.0471
-5.9544 5.2288 3.9650
W Pb P
2 1 1
Direct
0.7652 0.7652 0.7652
0.2348 0.2348 0.2348
0.0000 0.0000 0.0000
0.5000 0.5000 0.5000
```

Calculated values
* E_form: 0.6046 eV/atom
* ρ: 14.2 g cm⁻³
* total magnetization: 0.0 μB per formula unit

Density functional theory data (PBE) for a relaxed structure of PPbW2.

```
PPbW2
1.0
0.0000 3.2810 3.2810
3.2810 0.0000 3.2810
3.2810 3.2810 0.0000
W P Pb
2 1 1
Direct
0.0000 0.0000 0.0000
0.7500 0.7500 0.7500
0.5000 0.5000 0.5000
0.2500 0.2500 0.2500
```

Calculated values
* E_form: 0.9343 eV/atom
* ρ: 14.2 g cm⁻³
* total magnetization: 0.0 μB per formula unit

Density functional theory data (PBE) for a relaxed structure of PPb3W.

```
PPb3W
1.0
-2.3784 -2.2773 -4.0780
4.6184 -0.4632 -2.4349
0.6975 -4.6981 2.2167
Pb W P
3 1 1
Direct
0.5000 0.0000 0.0000
0.0000 0.0000 0.5000
0.0000 0.5000 0.0000
0.5000 0.5000 0.5000
0.0000 0.0000 0.0000
```

Calculated values
* E_form: 1.6347 eV/atom
* ρ: 9.6 g cm⁻³
* total magnetization: 0.0 μB per formula unit

Density functional theory data (PBE) for a relaxed structure of PPbW2.

```
PPbW2
1.0
3.1430 0.0000 0.0000
0.0000 3.1430 0.0000
0.0000 0.0000 7.0749
W Pb P
2 1 1
Direct
0.0000 0.0000 0.8177
0.0000 0.0000 0.1823
0.5000 0.5000 0.5000
0.5000 0.5000 0.0000
```

Calculated values
* E_form: 0.4605 eV/atom
* ρ: 14.4 g cm⁻³
* total magnetization: 0.0 μB per formula unit

Density functional theory data (PBE) for a relaxed structure of PPb3W.

```
PPb3W
1.0
5.4106 0.0000 0.0000
0.0000 5.4106 0.0000
0.0000 0.0000 5.4106
P Pb W
1 3 1
Direct
0.5000 0.5000 0.5000
0.5000 0.0000 0.0000
0.0000 0.5000 0.0000
0.0000 0.0000 0.5000
0.0000 0.0000 0.0000
```

Calculated values
* E_form: 1.0069 eV/atom
* ρ: 8.8 g cm⁻³
* total magnetization: 3.0 μB per formula unit

Density functional theory data (PBE) for a relaxed structure of PPbW2.

```
PPbW2
1.0
-0.5457 -2.7234 -1.6893
-0.8112 -1.5404 2.7454
-6.4497 1.8357 -0.8758
Pb P W
1 1 2
Direct
0.5000 0.5000 0.7516
0.0000 0.0000 0.4231
0.5000 0.5000 0.2879
0.0000 0.0000 0.0375
```

Calculated values
* E_form: 0.2689 eV/atom
* ρ: 14.1 g cm⁻³
* total magnetization: 0.0 μB per formula unit

Density functional theory data (PBE) for a relaxed structure of P2Pb2W.

```
P2Pb2W
1.0
3.3853 0.0000 0.0000
0.0000 3.3853 0.0000
1.6927 1.6927 9.2670
P Pb W
2 2 1
Direct
0.7500 0.2500 0.5000
0.2500 0.7500 0.5000
0.5954 0.5954 0.8092
0.4046 0.4046 0.1908
0.0000 0.0000 0.0000
```

Calculated values
* E_form: 0.7925 eV/atom
* ρ: 10.3 g cm⁻³
* total magnetization: 0.3 μB per formula unit

Density functional theory data (PBE) for a relaxed structure of PPbW2.

```
PPbW2
1.0
-0.4280 2.2672 2.2939
-0.8555 -3.1643 2.9679
4.7961 -0.2373 1.1295
W Pb P
2 1 1
Direct
0.5000 0.0000 0.5000
0.0000 0.0000 0.0000
0.0000 0.5000 0.5000
0.5000 0.5000 0.0000
```

Calculated values
* E_form: 1.0487 eV/atom
* ρ: 14.2 g cm⁻³
* total magnetization: 0.0 μB per formula unit

Density functional theory data (PBE) for a relaxed structure of PPbW4.

```
PPbW4
1.0
0.0000 3.8099 3.8099
3.8099 0.0000 3.8099
3.8099 3.8099 0.0000
Pb W P
1 4 1
Direct
0.0000 0.0000 0.0000
0.3758 0.3758 0.3758
0.3758 0.3758 0.8726
0.3758 0.8726 0.3758
0.8726 0.3758 0.3758
0.7500 0.7500 0.7500
```

Calculated values
* E_form: 0.9522 eV/atom
* ρ: 14.6 g cm⁻³
* total magnetization: 0.0 μB per formula unit

Density functional theory data (PBE) for a relaxed structure of P2Pb2W.

```
P2Pb2W
1.0
-0.7631 -5.8294 4.8091
7.5186 -0.0981 1.0742
-0.3818 2.4378 2.8945
P Pb W
4 4 2
Direct
0.1832 0.6832 0.5000
0.8168 0.3168 0.5000
0.3168 0.1832 0.5000
0.6832 0.8168 0.5000
0.3589 0.8589 0.0000
0.8589 0.6411 0.0000
0.6411 0.1411 0.0000
0.1411 0.3589 0.0000
0.5000 0.5000 0.0000
0.0000 0.0000 0.0000
```

Calculated values
* E_form: 1.1888 eV/atom
* ρ: 10.0 g cm⁻³
* total magnetization: 0.9 μB per formula unit

Density functional theory data (PBE) for a relaxed structure of PPbW2.

```
PPbW2
1.0
4.5622 0.0000 0.0000
0.0000 4.5622 0.0000
0.0000 0.0000 3.2490
W Pb P
2 1 1
Direct
0.0000 0.5000 0.0000
0.5000 0.0000 0.0000
0.0000 0.0000 0.5000
0.5000 0.5000 0.5000
```

Calculated values
* E_form: 0.9186 eV/atom
* ρ: 14.9 g cm⁻³
* total magnetization: 0.0 μB per formula unit